[1]
Compound: Zn7P6
Source: the Alexandria database
Functional: PBE
Structure: relaxed

a b c (Å): 8.3513 8.3513 8.3513
angles (deg): 44.41 44.41 44.41
Closest atoms and distances in Å follow each position.
Element x y z (fractional)
P 0.9027 0.9027 0.9027  1 P 2.09
P 0.0973 0.0973 0.0973  1 P 2.09
P 0.8100 0.8100 0.8100  1 P 2.09
P 0.1900 0.1900 0.1900  1 P 2.09
P 0.6553 0.6553 0.6553  3 Zn 2.34
P 0.3447 0.3447 0.3447  3 Zn 2.34
Zn 0.9330 0.4225 0.4225  2 P 2.34-2.37
Zn 0.4225 0.4225 0.9330  2 P 2.34-2.37
Zn 0.4225 0.9330 0.4225  2 P 2.34-2.37
Zn 0.0670 0.5775 0.5775  2 P 2.34-2.37
Zn 0.5775 0.0670 0.5775  2 P 2.34-2.37
Zn 0.5775 0.5775 0.0670  2 P 2.34-2.37
Zn 0.5000 0.5000 0.5000  6 Zn 2.80

Values from the calculation:
Energy of formation from the pure elements   226 kJ/mol of formula units
E_tot   -39.039 eV per cell
Calculated density   4.1 g/cm³
Fermi-level density of states   0.35 states/eV per atom
M_tot   0.00 μB per cell


[2]
Compound: ZnP2
Source: the Alexandria database
Functional: PBE
Structure: relaxed

a b c (Å): 4.4638 4.4638 2.6385
angles (deg): 90.00 90.00 120.00
Closest atoms and distances in Å follow each position.
Element x y z (fractional)
P 0.0000 0.0000 0.8330  5 P 2.58-2.64
P 0.3333 0.6667 0.8337  5 P 2.58-2.64
Zn 0.6667 0.3333 0.3333  2 Zn 2.64, 12 P 2.89-2.90

Values from the calculation:
Energy of formation from the pure elements   127 kJ/mol of formula units
E_tot   -10.782 eV per cell
Calculated density   4.6 g/cm³
Fermi-level density of states   0.30 states/eV per atom
M_tot   0.00 μB per cell


[3]
Compound: Zn3P2
Source: the Alexandria database
Functional: PBE
Structure: relaxed

a b c (Å): 7.3569 7.3569 7.3569
angles (deg): 29.61 29.61 29.61
Closest atoms and distances in Å follow each position.
Element x y z (fractional)
Zn 0.0000 0.0000 0.0000  6 P 2.65
Zn 0.7871 0.7871 0.7871  3 P 2.40
Zn 0.2129 0.2129 0.2129  3 P 2.40
P 0.4057 0.4057 0.4057  6 Zn 2.40-2.65
P 0.5943 0.5943 0.5943  6 Zn 2.40-2.65

Values from the calculation:
Energy of formation from the pure elements   52 kJ/mol of formula units
ΔE to the lowest computed polymorph   27.8 kJ/mol of atoms
E_tot   -14.099 eV per cell
Calculated density   5.0 g/cm³
Fermi-level density of states   0.37 states/eV per atom
M_tot   0.00 μB per cell


[4]
Compound: Zn2P
Source: the Alexandria database
Functional: PBE
Structure: relaxed

a b c (Å): 3.8476 3.8476 3.9921
angles (deg): 90.00 90.00 120.00
Closest atoms and distances in Å follow each position.
Element x y z (fractional)
Zn 0.6667 0.3333 0.7161  3 P 2.49
Zn 0.3333 0.6667 0.2839  3 P 2.49
P 0.0000 0.0000 0.0000  6 Zn 2.49

Values from the calculation:
Energy of formation from the pure elements   28 kJ/mol of formula units
E_tot   -7.665 eV per cell
Calculated density   5.2 g/cm³
Fermi-level density of states   0.24 states/eV per atom
M_tot   0.00 μB per cell